## one
ErHf3 | PBE-GGA | relaxed

abc: 3.261 5.135 5.716
angles: 90.00 90.00 90.00
Element x y z (fractional)
1 Er 0.000 0.000 0.000
2 Hf 0.000 0.500 0.659
3 Hf 0.500 0.000 0.501
4 Hf 0.500 0.500 0.186

Space group ... Pmm2 (25)
Total moment ... 0.00 μB/f.u.
Density of states at the Fermi level ... 2.89 states/eV/cell
Calculated density ... 12.19 Mg/m³

***

## two
ErHf3 | PBE-GGA | relaxed

abc: 5.573 5.573 5.573
angles: 131.49 131.49 71.04
Element x y z (fractional)
1 Er 0.000 0.000 0.000
2 Hf 0.250 0.750 0.500
3 Hf 0.500 0.500 0.000
4 Hf 0.750 0.250 0.500

Space group ... I4/mmm (139)
Total moment ... 0.00 μB/f.u.
Density of states at the Fermi level ... 6.16 states/eV/cell
Calculated density ... 12.27 Mg/m³

***

Stability verdict: one, ahead by 9.4 kJ/mol of atoms